[1]
VASP calculation (PBE) on a relaxed structure of HfBeHg2Bi.

Output
**Raw total energy**: -2.218 eV per atom
**V**: 36.5 A^3/atom

Geometry as CIF:
```
data_HfBeHg2Bi
_cell_length_a 5.6929
_cell_length_b 5.6929
_cell_length_c 5.6382
_cell_angle_alpha 90.00
_cell_angle_beta 90.00
_cell_angle_gamma 90.00
_symmetry_space_group_name_H-M 'P 4/m m m'
_symmetry_Int_Tables_number 123
_symmetry_space_group_name_Hall '-P 4 2'
loop_
_atom_site_label
_atom_site_fract_x
_atom_site_fract_y
_atom_site_fract_z
Hf1 0.0000 0.0000 0.0000
Be1 0.5000 0.5000 0.0000
Hg1 0.0000 0.5000 0.5000
Bi1 0.0000 0.0000 0.5000
```



[2]
VASP calculation (PBE) on a relaxed structure of SrZr3Nb.

Output
**V**: 29.5 A^3/atom
**Energy above the lowest structure with this stoichiometry**: 0.0 kJ/mol of atoms

Geometry as CIF:
```
data_SrZr3Nb
_cell_length_a 5.2843
_cell_length_b 5.2843
_cell_length_c 5.2843
_cell_angle_alpha 90.00
_cell_angle_beta 90.00
_cell_angle_gamma 90.00
_symmetry_space_group_name_H-M 'P m -3 m'
_symmetry_Int_Tables_number 221
_symmetry_space_group_name_Hall '-P 4 2 3'
loop_
_atom_site_label
_atom_site_fract_x
_atom_site_fract_y
_atom_site_fract_z
Sr1 0.0000 0.0000 0.0000
Zr1 0.0000 0.5000 0.5000
Nb1 0.5000 0.5000 0.5000
```